Here is an optimized crystal structure of MnHPd3 from the Alexandria database. Energies are from PBE-GGA.

Summary:
The calculated total energy is -110.901 eV/cell. As for the space-group type: C2/c.

a b c (Å): 7.209 7.209 4.723
angles (deg): 91.27 91.27 101.79
Atoms (fractional coordinates):
Mn1 0.047 0.146 0.084
Mn2 0.146 0.047 0.584
Mn3 0.854 0.953 0.416
Mn4 0.953 0.854 0.916
H1 0.318 0.682 0.250
H2 0.429 0.571 0.750
H3 0.571 0.429 0.250
H4 0.682 0.318 0.750
Pd1 0.057 0.701 0.420
Pd2 0.180 0.564 0.916
Pd3 0.298 0.419 0.407
Pd4 0.299 0.943 0.080
Pd5 0.419 0.298 0.907
Pd6 0.436 0.820 0.584
Pd7 0.564 0.180 0.416
Pd8 0.581 0.702 0.093
Pd9 0.701 0.057 0.920
Pd10 0.702 0.581 0.593
Pd11 0.820 0.436 0.084
Pd12 0.943 0.299 0.580